Entry from the Alexandria database: an optimized crystal structure of Sr3V2O4F3 (PBE with a Hubbard U).

Properties
Crystal system: orthorhombic
Final energy (Ry per atom): -0.4774

abc: 4.028 4.028 10.890
angles: 100.66 100.66 90.00
Last column: magnetic moment on the atom in μB.
Fractional positions:
Sr 0.690 0.688 0.375  0.01
Sr 0.314 0.312 0.625  0.01
V 0.105 0.102 0.205  2.31
F 0.090 0.587 0.175  0.01
O 0.596 0.094 0.187  -0.03
O 0.201 0.199 0.397  0.01
O 0.804 0.801 0.603  0.01
F 0.915 0.413 0.825  0.01
Sr 0.502 0.500 0.000  0.01
F 0.002 0.000 0.000  0.01
O 0.409 0.906 0.813  -0.03
V 0.900 0.898 0.795  2.31